1.
# VCu2Au8, optimized geometry, DFT GGA-PBE
data_VCu2Au8
_symmetry_space_group_name_H-M 'C 1 2/m 1'
_symmetry_Int_Tables_number 12
_cell_length_a 15.583
_cell_length_b 4.813
_cell_length_c 5.001
_cell_angle_alpha 90.00
_cell_angle_beta 96.05
_cell_angle_gamma 90.00
loop_
_symmetry_equiv_pos_as_xyz
'x,y,z'
'-x,-y,-z'
'-x,y,-z'
'x,-y,z'
'x+1/2,y+1/2,z'
'-x+1/2,-y+1/2,-z'
'-x+1/2,y+1/2,-z'
'x+1/2,-y+1/2,z'
loop_
_atom_site_label
_atom_site_type_symbol
_atom_site_fract_x
_atom_site_fract_y
_atom_site_fract_z
V1 V 0.000 0.000 0.000
Cu1 Cu 0.132 0.500 0.825
Au1 Au 0.042 0.500 0.261
Au2 Au 0.091 0.000 0.551
Au3 Au 0.182 0.000 0.075
Au4 Au 0.222 0.500 0.378
# * uncorrected energy: -3.94 eV/atom
# * ΔE_f: 23 kJ/mol of formula units

***

2.
# VCu2Au, optimized geometry, DFT GGA-PBE
data_VCu2Au
_symmetry_space_group_name_H-M 'P 4/m m m'
_symmetry_Int_Tables_number 123
_symmetry_space_group_name_Hall '-P 4 2'
_cell_length_a 3.107
_cell_length_b 3.107
_cell_length_c 5.862
_cell_angle_alpha 90.00
_cell_angle_beta 90.00
_cell_angle_gamma 90.00
loop_
_atom_site_label
_atom_site_type_symbol
_atom_site_fract_x
_atom_site_fract_y
_atom_site_fract_z
V1 V 0.000 0.000 0.000
Cu1 Cu 0.500 0.500 0.233
Au1 Au 0.000 0.000 0.500
# * uncorrected energy: -5.03 eV/atom
# * ΔE_f: 47 kJ/mol of formula units
# * energy above the lowest structure with this stoichiometry: 0.000 eV/atom

***

3.
# VCuAu6, optimized geometry, DFT GGA-PBE
data_VCuAu6
_symmetry_space_group_name_H-M 'P 4/m m m'
_symmetry_Int_Tables_number 123
_symmetry_space_group_name_Hall '-P 4 2'
_cell_length_a 4.114
_cell_length_b 4.114
_cell_length_c 8.107
_cell_angle_alpha 90.00
_cell_angle_beta 90.00
_cell_angle_gamma 90.00
loop_
_atom_site_label
_atom_site_type_symbol
_atom_site_fract_x
_atom_site_fract_y
_atom_site_fract_z
V1 V 0.000 0.000 0.000
Cu1 Cu 0.000 0.000 0.500
Au1 Au 0.000 0.500 0.252
Au2 Au 0.500 0.500 0.000
Au3 Au 0.500 0.500 0.500
# * uncorrected energy: -4.07 eV/atom
# * ΔE_f: 31 kJ/mol of formula units

***

4.
# VCu2Au, optimized geometry, DFT GGA-PBE
data_VCu2Au
_symmetry_space_group_name_H-M 'P 4/m m m'
_symmetry_Int_Tables_number 123
_symmetry_space_group_name_Hall '-P 4 2'
_cell_length_a 3.929
_cell_length_b 3.929
_cell_length_c 3.773
_cell_angle_alpha 90.00
_cell_angle_beta 90.00
_cell_angle_gamma 90.00
loop_
_atom_site_label
_atom_site_type_symbol
_atom_site_fract_x
_atom_site_fract_y
_atom_site_fract_z
V1 V 0.000 0.000 0.000
Cu1 Cu 0.000 0.500 0.500
Au1 Au 0.500 0.500 0.000
# * uncorrected energy: -4.99 eV/atom
# * ΔE_f: 62 kJ/mol of formula units
# * energy above the lowest structure with this stoichiometry: 0.041 eV/atom

***

5.
# VCu2Au, optimized geometry, DFT GGA-PBE
data_VCu2Au
_symmetry_space_group_name_H-M 'I -4 2 d'
_symmetry_Int_Tables_number 122
_symmetry_space_group_name_Hall 'I -4 2bw'
_cell_length_a 6.952
_cell_length_b 6.952
_cell_length_c 5.270
_cell_angle_alpha 90.00
_cell_angle_beta 90.00
_cell_angle_gamma 90.00
loop_
_atom_site_label
_atom_site_type_symbol
_atom_site_fract_x
_atom_site_fract_y
_atom_site_fract_z
V1 V 0.000 0.000 0.000
Cu1 Cu 0.247 0.250 0.125
Au1 Au 0.000 0.000 0.500
# * uncorrected energy: -4.62 eV/atom
# * ΔE_f: 202 kJ/mol of formula units
# * energy above the lowest structure with this stoichiometry: 0.404 eV/atom

***

6.
# VCu2Au2, optimized geometry, DFT GGA-PBE
data_VCu2Au2
_symmetry_space_group_name_H-M 'P 4/m b m'
_symmetry_Int_Tables_number 127
_symmetry_space_group_name_Hall '-P 4 2ab'
_cell_length_a 7.066
_cell_length_b 7.066
_cell_length_c 3.135
_cell_angle_alpha 90.00
_cell_angle_beta 90.00
_cell_angle_gamma 90.00
loop_
_atom_site_label
_atom_site_type_symbol
_atom_site_fract_x
_atom_site_fract_y
_atom_site_fract_z
V1 V 0.000 0.000 0.000
Cu1 Cu 0.123 0.377 0.000
Au1 Au 0.177 0.677 0.500
# * uncorrected energy: -4.62 eV/atom
# * ΔE_f: 72 kJ/mol of formula units